No. 1
A geometry-optimized Na2CrAs2S6 structure, computed with PBE.

a = 6.3663 Å, b = 6.3663 Å, c = 6.6249 Å
α = 90.00°, β = 90.00°, γ = 120.00°
Space group P-3 (No. 147)
Unique sites:
Na 0.3333 0.6667 0.4437 [2 per cell]
Cr 0.0000 0.0000 0.0000 [1 per cell]
As 0.3333 0.6667 0.9596 [2 per cell]
S 0.0538 0.3253 0.7844 [6 per cell]

DOS(E_F): 3.61 states/eV/cell
Formation energy from raw total energies: -0.56 eV per atom

---

No. 2
A geometry-optimized NaCrAsSe3 structure, computed with PBE.

a = 8.0479 Å, b = 3.6245 Å, c = 9.3391 Å
α = 90.00°, β = 108.23°, γ = 90.00°
Space group P2_1/m (No. 11)
Unique sites:
Na 0.2191 0.2500 0.2554 [2 per cell]
Cr 0.3358 0.7500 0.8292 [2 per cell]
As 0.1634 0.2500 0.6157 [2 per cell]
Se 0.1113 0.2500 0.8654 [2 per cell]
Se 0.3750 0.7500 0.5490 [2 per cell]
Se 0.4344 0.7500 0.1153 [2 per cell]

DOS(E_F): 2.73 states/eV/cell
Formation energy from raw total energies: -0.39 eV per atom

---

No. 3
A geometry-optimized Na2CrAsSe4 structure, computed with PBE.

a = 8.2561 Å, b = 8.2746 Å, c = 6.7706 Å
α = 90.00°, β = 123.15°, γ = 90.00°
Space group C2 (No. 5)
Unique sites:
Na 0.0000 0.0000 0.0000 [2 per cell]
Na 0.0000 0.2487 0.5000 [2 per cell]
Cr 0.0000 0.4623 0.0000 [2 per cell]
As 0.0000 0.7169 0.5000 [2 per cell]
Se 0.1937 0.5255 0.4304 [4 per cell]
Se 0.2411 0.2758 0.0314 [4 per cell]

DOS(E_F): 5.69 states/eV/cell
Formation energy from raw total energies: -0.56 eV per atom

---

No. 4
A geometry-optimized Na2CrAsSe structure, computed with PBE.

a = 5.2874 Å, b = 5.2874 Å, c = 4.8403 Å
α = 90.00°, β = 90.00°, γ = 90.00°
Space group P4/mmm (No. 123)
Unique sites:
Na 0.0000 0.5000 0.0000 [2 per cell]
Cr 0.0000 0.0000 0.5000 [1 per cell]
As 0.5000 0.5000 0.5000 [1 per cell]
Se 0.0000 0.0000 0.0000 [1 per cell]

DOS(E_F): 3.57 states/eV/cell
Formation energy from raw total energies: 0.01 eV per atom

---

No. 5
A geometry-optimized NaTlCrAs2 structure, computed with PBE.

a = 4.7376 Å, b = 4.7376 Å, c = 5.5900 Å
α = 90.00°, β = 90.00°, γ = 90.00°
Space group P4/mmm (No. 123)
Unique sites:
Na 0.0000 0.0000 0.0000 [1 per cell]
Tl 0.5000 0.5000 0.0000 [1 per cell]
Cr 0.0000 0.0000 0.5000 [1 per cell]
As 0.0000 0.5000 0.5000 [2 per cell]

DOS(E_F): 3.60 states/eV/cell
Energy of formation: 0.193 eV per atom

---

No. 6
A geometry-optimized NaZrCr2As structure, computed with PBE.

a = 4.5904 Å, b = 4.5904 Å, c = 4.8642 Å
α = 90.00°, β = 90.00°, γ = 90.00°
Space group P4/mmm (No. 123)
Unique sites:
Na 0.0000 0.0000 0.0000 [1 per cell]
Zr 0.5000 0.5000 0.0000 [1 per cell]
Cr 0.0000 0.5000 0.5000 [2 per cell]
As 0.0000 0.0000 0.5000 [1 per cell]

DOS(E_F): 4.29 states/eV/cell
Energy of formation: 0.778 eV per atom

---

No. 7
A geometry-optimized NbCrAs3 structure, computed with PBE.

a = 4.9601 Å, b = 4.9601 Å, c = 4.9601 Å
α = 90.00°, β = 90.00°, γ = 90.00°
Space group Pm-3m (No. 221)
Unique sites:
Nb 0.0000 0.0000 0.0000 [1 per cell]
Cr 0.5000 0.5000 0.5000 [1 per cell]
As 0.0000 0.0000 0.5000 [3 per cell]

DOS(E_F): 13.44 states/eV/cell
E above lowest polymorph: 449 meV per atom
Energy of formation: 1.089 eV per atom

---

No. 8
A geometry-optimized Nb2CrAs structure, computed with PBE.

a = 3.8396 Å, b = 3.8396 Å, c = 19.3656 Å
α = 90.00°, β = 90.00°, γ = 90.00°
Space group I-42d (No. 122)
Unique sites:
Nb 0.2459 0.2500 0.1250 [8 per cell]
Cr 0.0000 0.0000 0.5000 [4 per cell]
As 0.0000 0.0000 0.0000 [4 per cell]

DOS(E_F): 15.95 states/eV/cell
Energy of formation: 0.345 eV per atom